1.
DFT (PBE) results for UPaRu after structural relaxation.

Cell lengths 3.4741, 3.4741, 5.9346 Å; angles 90.00, 90.00, 120.00 degrees
Space group P3m1 (No. 156)
Asymmetric unit:
1 U 0.0000 0.0000 0.0000
2 Pa 0.6667 0.3333 0.3562
3 Ru 0.3333 0.6667 0.7007

Properties
volume = 20.7 Å³ per atom
density = 15.3 g/cm3
size of the total moment = 0.21 μB/f.u.
energy of formation = 0.02 eV/atom

***

2.
DFT (PBE) results for HoCu2Pd after structural relaxation.

Cell lengths 6.437, 6.437, 6.437 Å; angles 90.00, 90.00, 90.00 degrees
Space group Fm-3m (No. 225)
Asymmetric unit:
1 Ho 0.000 0.000 0.000
2 Cu 0.250 0.250 0.250
3 Pd 0.000 0.000 0.500

Properties
volume = 16.7 Å³ per atom
density = 9.9 g/cm3
size of the total moment = 0.00 μB/f.u.
energy of formation = -0.35 eV/atom

***

3.
DFT (PBE) results for GeC3O after structural relaxation.

Cell lengths 3.680, 3.680, 3.680 Å; angles 90.00, 90.00, 90.00 degrees
Space group Pm-3m (No. 221)
Asymmetric unit:
1 Ge 0.000 0.000 0.000
2 C 0.000 0.500 0.500
3 O 0.500 0.500 0.500

Properties
volume = 10.0 Å³ per atom
E_form (uncorrected) = 2.9836 eV per atom
density = 4.2 g/cm3
size of the total moment = 0.00 μB/f.u.